Arrangement P

First-principles (PBE) data for crystalline PmB at its relaxed geometry, as listed in OQMD.

## Properties
- Space-group type: No. 187

abc: 3.557 3.557 3.718
angles: 90.00 90.00 120.00
Fractional positions:
Pm1 0.000 0.000 0.000
B1 0.333 0.667 0.500


Arrangement Q

First-principles (PBE) data for crystalline PmB at its relaxed geometry, as listed in OQMD.

## Properties
- Space-group type: No. 225

abc: 3.904 3.904 3.904
angles: 60.00 60.00 60.00
Fractional positions:
Pm1 0.000 0.000 0.000
B1 0.500 0.500 0.500


Arrangement R

First-principles (PBE) data for crystalline PmB at its relaxed geometry, as listed in OQMD.

## Properties
- Space-group type: No. 216

abc: 4.157 4.157 4.157
angles: 60.00 60.00 60.00
Fractional positions:
Pm1 0.000 0.000 0.000
B1 0.250 0.250 0.250


The data favor arrangement Q; the next most stable structure lies 154 meV per atom above it.